1.
! Nb | Alexandria | PBE | relaxed; values from VASP
&SYSTEM
  ibrav = 0, nat = 1, ntyp = 1
/
ATOMIC_SPECIES
Nb 92.91 Nb.upf
CELL_PARAMETERS angstrom
2.729 0.000 0.000
0.000 2.729 0.000
0.000 0.000 2.729
ATOMIC_POSITIONS angstrom
Nb 0.000 0.000 0.000
! Calculated formation energy   1.00 eV per atom
! Total magnetic moment   0.00 μB/cell
! Relative energy among the computed polymorphs   1.005 eV per atom
! ρ   7.59 Mg/m³
! Fermi-level density of states   2.45 states/eV per cell

2.
! Pm2Mg3Zn | Alexandria | PBE | relaxed; values from VASP
&SYSTEM
  ibrav = 0, nat = 6, ntyp = 3
/
ATOMIC_SPECIES
Pm 145.00 Pm.upf
Mg 24.30 Mg.upf
Zn 65.41 Zn.upf
CELL_PARAMETERS angstrom
3.372 0.000 0.000
0.000 5.113 0.000
0.000 0.000 8.842
ATOMIC_POSITIONS angstrom
Pm 0.000 0.000 0.000
Pm 0.000 2.556 4.146
Mg 1.686 0.000 5.701
Mg 1.686 2.556 1.340
Mg 1.686 2.556 7.196
Zn 1.686 0.000 2.821
! Calculated formation energy   -0.13 eV per atom
! Total magnetic moment   0.00 μB/cell
! ρ   4.67 Mg/m³
! Fermi-level density of states   4.13 states/eV per cell

3.
! LaY2Ni | Alexandria | PBE | relaxed; values from VASP
&SYSTEM
  ibrav = 0, nat = 8, ntyp = 3
/
ATOMIC_SPECIES
La 138.91 La.upf
Y 88.91 Y.upf
Ni 58.69 Ni.upf
CELL_PARAMETERS angstrom
3.695 0.000 0.000
0.000 9.829 0.000
-1.840 0.000 6.156
ATOMIC_POSITIONS angstrom
La 0.002 2.457 1.065
La 1.853 7.372 5.090
Y 0.003 0.706 4.443
Y 0.003 4.209 4.443
Y 1.853 5.620 1.712
Y 1.853 9.124 1.712
Ni 0.005 7.372 2.913
Ni 1.850 2.457 3.243
! Calculated formation energy   -0.19 eV per atom
! Total magnetic moment   0.03 μB/cell
! Relative energy among the computed polymorphs   0.028 eV per atom
! ρ   5.58 Mg/m³
! Fermi-level density of states   11.97 states/eV per cell

4.
! LiTlBRh2 | Alexandria | PBE | relaxed; values from VASP
&SYSTEM
  ibrav = 0, nat = 5, ntyp = 4
/
ATOMIC_SPECIES
Li 6.94 Li.upf
Tl 204.38 Tl.upf
B 10.81 B.upf
Rh 102.91 Rh.upf
CELL_PARAMETERS angstrom
4.119 0.000 0.000
0.000 4.119 0.000
0.000 0.000 4.245
ATOMIC_POSITIONS angstrom
Li 0.000 0.000 0.000
Tl 2.060 2.060 0.000
B 0.000 0.000 2.122
Rh 0.000 2.060 2.122
Rh 2.060 0.000 2.122
! Calculated formation energy   -0.25 eV per atom
! Total magnetic moment   0.00 μB/cell
! ρ   9.87 Mg/m³
! Fermi-level density of states   1.22 states/eV per cell

5.
! LaNbGe2O8 | Alexandria | PBE | relaxed; values from VASP
&SYSTEM
  ibrav = 0, nat = 12, ntyp = 4
/
ATOMIC_SPECIES
La 138.91 La.upf
Nb 92.91 Nb.upf
Ge 72.64 Ge.upf
O 16.00 O.upf
CELL_PARAMETERS angstrom
5.496 0.000 0.000
-2.748 4.760 0.000
0.000 0.000 6.834
ATOMIC_POSITIONS angstrom
La 0.000 0.000 0.000
Nb 0.000 0.000 3.417
Ge 0.000 3.173 1.497
Ge 2.748 1.587 5.337
O 0.000 1.518 2.135
O -1.433 4.000 2.135
O 1.315 0.759 4.699
O 0.000 3.173 6.617
O 2.748 1.587 0.217
O 1.433 4.000 2.135
O 4.181 0.759 4.699
O 2.748 3.241 4.699
! Total magnetic moment   0.00 μB/cell
! Calculated total energy   -90.2 eV/cell
! ρ   4.69 Mg/m³
! Fermi-level density of states   0.00 states/eV per cell

6.
! Tm7ScTl2 | Alexandria | PBE | relaxed; values from VASP
&SYSTEM
  ibrav = 0, nat = 10, ntyp = 3
/
ATOMIC_SPECIES
Tm 168.93 Tm.upf
Sc 44.96 Sc.upf
Tl 204.38 Tl.upf
CELL_PARAMETERS angstrom
4.526 -7.748 0.000
4.526 7.748 0.000
0.000 0.000 5.077
ATOMIC_POSITIONS angstrom
Tm 0.000 0.000 0.000
Tm 2.881 1.795 0.000
Tm 4.526 3.376 2.539
Tm 2.881 -1.795 0.000
Tm 6.170 1.795 0.000
Tm 4.526 -3.376 2.539
Tm 6.170 -1.795 0.000
Sc 4.526 0.000 2.539
Tl 4.526 4.770 0.000
Tl 4.526 -4.770 0.000
! Calculated formation energy   0.39 eV per atom
! Total magnetic moment   0.00 μB/cell
! ρ   7.63 Mg/m³
! Fermi-level density of states   14.28 states/eV per cell

7.
! Ca2Ni3As4Rh | Alexandria | PBE | relaxed; values from VASP
&SYSTEM
  ibrav = 0, nat = 10, ntyp = 4
/
ATOMIC_SPECIES
Ca 40.08 Ca.upf
Ni 58.69 Ni.upf
As 74.92 As.upf
Rh 102.91 Rh.upf
CELL_PARAMETERS angstrom
4.195 0.000 0.000
0.000 4.195 0.000
0.000 0.000 9.684
ATOMIC_POSITIONS angstrom
Ca 0.000 2.098 2.392
Ca 2.098 0.000 7.292
Ni 0.000 2.098 8.511
Ni 2.098 0.000 1.172
Ni 2.098 2.098 4.842
As 0.000 0.000 0.000
As 0.000 2.098 6.170
As 2.098 0.000 3.514
As 2.098 2.098 0.000
Rh 0.000 0.000 4.842
! Calculated formation energy   -0.69 eV per atom
! Total magnetic moment   0.00 μB/cell
! ρ   6.42 Mg/m³
! Fermi-level density of states   8.52 states/eV per cell

8.
! CaWCl3 | Alexandria | PBE | relaxed; values from VASP
&SYSTEM
  ibrav = 0, nat = 5, ntyp = 3
/
ATOMIC_SPECIES
Ca 40.08 Ca.upf
W 183.84 W.upf
Cl 35.45 Cl.upf
CELL_PARAMETERS angstrom
4.858 0.000 0.000
0.000 4.858 0.000
0.000 0.000 4.858
ATOMIC_POSITIONS angstrom
Ca 0.000 0.000 0.000
W 2.429 2.429 2.429
Cl 0.000 2.429 2.429
Cl 2.429 0.000 2.429
Cl 2.429 2.429 0.000
! Total magnetic moment   1.50 μB/cell
! Relative energy among the computed polymorphs   0.000 eV per atom
! ρ   4.78 Mg/m³
! Fermi-level density of states   4.83 states/eV per cell

9.
! Li2La2Bi | Alexandria | PBE | relaxed; values from VASP
&SYSTEM
  ibrav = 0, nat = 10, ntyp = 3
/
ATOMIC_SPECIES
Li 6.94 Li.upf
La 138.91 La.upf
Bi 208.98 Bi.upf
CELL_PARAMETERS angstrom
7.270 0.000 0.000
0.000 7.270 0.000
0.000 0.000 5.036
ATOMIC_POSITIONS angstrom
Li 0.976 2.659 0.000
Li 2.659 6.294 0.000
Li 4.611 0.976 0.000
Li 6.294 4.611 0.000
La 1.217 4.852 2.518
La 2.418 1.217 2.518
La 4.852 6.053 2.518
La 6.053 2.418 2.518
Bi 0.000 0.000 0.000
Bi 3.635 3.635 0.000
! Calculated formation energy   -0.35 eV per atom
! Total magnetic moment   0.00 μB/cell
! Relative energy among the computed polymorphs   0.000 eV per atom
! ρ   6.25 Mg/m³
! Fermi-level density of states   9.28 states/eV per cell

10.
! AuS2N2 | Alexandria | PBE | relaxed; values from VASP
&SYSTEM
  ibrav = 0, nat = 5, ntyp = 3
/
ATOMIC_SPECIES
Au 196.97 Au.upf
S 32.06 S.upf
N 14.01 N.upf
CELL_PARAMETERS angstrom
5.162 0.000 0.000
0.000 5.162 0.000
0.000 0.000 3.764
ATOMIC_POSITIONS angstrom
Au 0.000 0.000 0.000
S 0.000 2.581 0.000
S 2.581 0.000 0.000
N 0.000 0.000 1.882
N 2.581 2.581 1.882
! Total magnetic moment   0.75 μB/cell
! Relative energy among the computed polymorphs   1.793 eV per atom
! ρ   4.79 Mg/m³
! Fermi-level density of states   4.84 states/eV per cell

11.
! Fe2AgMo | Alexandria | PBE | relaxed; values from VASP
&SYSTEM
  ibrav = 0, nat = 4, ntyp = 3
/
ATOMIC_SPECIES
Fe 55.84 Fe.upf
Ag 107.87 Ag.upf
Mo 95.94 Mo.upf
CELL_PARAMETERS angstrom
1.343 0.775 9.250
-1.343 0.775 9.250
0.000 -1.551 9.250
ATOMIC_POSITIONS angstrom
Fe 0.000 0.000 6.888
Fe 0.000 0.000 20.862
Ag 0.000 0.000 0.000
Mo 0.000 0.000 13.875
! Calculated formation energy   0.40 eV per atom
! Total magnetic moment   4.29 μB/cell
! Relative energy among the computed polymorphs   0.120 eV per atom
! ρ   9.07 Mg/m³
! Fermi-level density of states   4.44 states/eV per cell

12.
! Ta2TePb2 | Alexandria | PBE | relaxed; values from VASP
&SYSTEM
  ibrav = 0, nat = 5, ntyp = 3
/
ATOMIC_SPECIES
Ta 180.95 Ta.upf
Te 127.60 Te.upf
Pb 207.20 Pb.upf
CELL_PARAMETERS angstrom
-1.902 1.902 9.183
1.902 -1.902 9.183
1.902 1.902 -9.183
ATOMIC_POSITIONS angstrom
Ta 1.902 0.000 4.591
Ta 0.000 1.902 4.591
Te 0.000 0.000 0.000
Pb 0.000 0.000 7.194
Pb 0.000 0.000 11.172
! Total magnetic moment   0.00 μB/cell
! Relative energy among the computed polymorphs   0.146 eV per atom
! ρ   11.29 Mg/m³
! Fermi-level density of states   5.52 states/eV per cell

total magnetic moment of number 7 (Ca2Ni3As4Rh)?
0.00 μB/cell

ρ of number 5 (LaNbGe2O8)?
4.69 Mg/m³

total magnetic moment of number 10 (AuS2N2)?
0.75 μB/cell